LiPmSnRh: relaxed, PBE-GGA.

Lattice parameters (Å, degrees): 4.8090 4.8090 4.8090 60.00 60.00 60.00
Sites, in units of the cell vectors:
Li: 0.5000 0.5000 0.5000
Rh: 0.0000 0.0000 0.0000
Sn: 0.2500 0.2500 0.2500
Pm: 0.7500 0.7500 0.7500

Computed properties:
* space-group type: F-43m, No. 216
* formation energy: -656 meV per atom

***

W8Br: relaxed, PBE-GGA.

Lattice parameters (Å, degrees): 6.1899 6.1899 6.1899 97.70 97.70 137.06
Sites, in units of the cell vectors:
W: 0.3288 0.6712 0.0000
W: 0.6712 0.3288 0.0000
W: 0.0000 0.3377 0.3377
W: 0.6712 0.6712 0.3423
W: 0.3377 0.0000 0.3377
W: 0.3288 0.3288 0.6577
W: 0.0000 0.6623 0.6623
W: 0.6623 0.0000 0.6623
Br: 0.0000 0.0000 0.0000

Computed properties:
* space-group type: I4/mmm, No. 139
* energy relative to the elements, uncorrected: 0.761 eV/atom

***

SmZnPd: relaxed, PBE-GGA.

Lattice parameters (Å, degrees): 3.6178 4.4921 4.4921 120.00 90.00 90.00
Sites, in units of the cell vectors:
Zn: 0.1663 0.0000 0.0000
Pd: 0.1672 0.3333 0.6667
Sm: 0.6665 0.6667 0.3333

Computed properties:
* space-group type: P-6m2, No. 187
* formation energy: -651 meV per atom

***

TeMoSCl2: relaxed, PBE-GGA.

Lattice parameters (Å, degrees): 4.8496 4.8496 4.7602 90.00 90.00 90.00
Sites, in units of the cell vectors:
Mo: 0.0000 0.0000 0.0000
Te: 0.5000 0.5000 0.5000
S: 0.0000 0.0000 0.5000
Cl: 0.0000 0.5000 0.0000
Cl: 0.5000 0.0000 0.0000

Computed properties:
* space-group type: P4/mmm, No. 123
* energy relative to the elements, uncorrected: 0.102 eV/atom
* ΔE to the lowest computed polymorph: 0 meV per atom

***

| no. | total magnetic moment (μB per formula unit) | electronic total energy (eV/atom) |
| --- | --- | --- |
| 1 | 0.0 | -5.1604 |
| 2 | 0.0 | -10.9391 |
| 3 | 0.0 | -4.3797 |
| 4 | 0.5 | -4.2568 |